The following is a PBE calculation of a relaxed LaSmNiIr crystal, from Alexandria via LeMat-Bulk.

Summary:
Space group: No. 38
Total DFT energy (no corrections) in eV per cell: -26.5
ΔE_f in eV/atom: -0.547
ρ in kg/m3: 9834

Geometry as extended XYZ:
```
4
Lattice="-0.6417 2.2581 -3.1469 -4.1808 -1.0680 0.0862 -0.6851 3.0684 4.7904" Properties=species:S:1:pos:R:3 pbc="T T T"
La -0.2842 1.1859 0.9089
Sm -3.1397 3.6348 0.7994
Ni -2.5630 1.2284 -1.0450
Ir -0.8474 3.5358 2.7099
```

The following is a PBE calculation of a relaxed La2Ni4Sn3Ir crystal, from Alexandria via LeMat-Bulk.

Summary:
Space group: No. 115
Total DFT energy (no corrections) in eV per cell: -58.4
ΔE_f in eV/atom: -0.457
ρ in kg/m3: 8903

Geometry as extended XYZ:
```
10
Lattice="4.3430 0.0000 0.0000 0.0000 4.3430 0.0000 0.0000 0.0000 10.4911" Properties=species:S:1:pos:R:3 pbc="T T T"
La 2.1715 0.0000 2.6954
La 0.0000 2.1715 7.7957
Ni 2.1715 2.1715 0.0000
Ni 0.0000 0.0000 0.0000
Ni 2.1715 0.0000 6.6128
Ni 0.0000 2.1715 3.8783
Sn 0.0000 0.0000 5.2456
Sn 2.1715 0.0000 9.1728
Sn 0.0000 2.1715 1.3183
Ir 2.1715 2.1715 5.2456
```

The following is a PBE calculation of a relaxed La2Ni3Sn4Ir crystal, from Alexandria via LeMat-Bulk.

Summary:
Space group: No. 115
Total DFT energy (no corrections) in eV per cell: -57.7
ΔE_f in eV/atom: -0.567
ρ in kg/m3: 8819

Geometry as extended XYZ:
```
10
Lattice="4.5050 0.0000 0.0000 0.0000 4.5050 0.0000 0.0000 0.0000 10.3998" Properties=species:S:1:pos:R:3 pbc="T T T"
La 2.2525 0.0000 2.6617
La 0.0000 2.2525 7.7381
Ni 0.0000 0.0000 5.1999
Ni 2.2525 0.0000 9.1001
Ni 0.0000 2.2525 1.2997
Sn 2.2525 2.2525 0.0000
Sn 0.0000 0.0000 0.0000
Sn 2.2525 0.0000 6.5796
Sn 0.0000 2.2525 3.8201
Ir 2.2525 2.2525 5.1999
```

The following is a PBE calculation of a relaxed La2NiSn3Ir4 crystal, from Alexandria via LeMat-Bulk.

Summary:
Space group: No. 115
Total DFT energy (no corrections) in eV per cell: -68.0
ΔE_f in eV/atom: -0.495
ρ in kg/m3: 11442

Geometry as extended XYZ:
```
10
Lattice="4.3500 0.0000 0.0000 0.0000 4.3500 0.0000 0.0000 0.0000 11.2091" Properties=species:S:1:pos:R:3 pbc="T T T"
La 2.1750 0.0000 2.9284
La 0.0000 2.1750 8.2807
Ni 2.1750 2.1750 5.6046
Sn 0.0000 0.0000 5.6046
Sn 2.1750 0.0000 9.7237
Sn 0.0000 2.1750 1.4855
Ir 2.1750 2.1750 0.0000
Ir 0.0000 0.0000 0.0000
Ir 2.1750 0.0000 7.0972
Ir 0.0000 2.1750 4.1119
```

The following is a PBE calculation of a relaxed La2TaNiIr crystal, from Alexandria via LeMat-Bulk.

Summary:
Space group: No. 123
Total DFT energy (no corrections) in eV per cell: -33.0
ΔE_f in eV/atom: 0.663
ρ in kg/m3: 8363

Geometry as extended XYZ:
```
5
Lattice="5.5379 0.0000 0.0000 0.0000 4.5947 0.0000 0.0000 0.0000 5.5379" Properties=species:S:1:pos:R:3 pbc="T T T"
Ni 0.0000 2.2973 0.0000
Ir 0.0000 0.0000 0.0000
La 0.0000 0.0000 2.7690
La 2.7690 0.0000 0.0000
Ta 2.7690 2.2973 2.7690
```

The following is a PBE calculation of a relaxed LaTbNiIr crystal, from Alexandria via LeMat-Bulk.

Summary:
Space group: No. 216
Total DFT energy (no corrections) in eV per cell: -26.2
E above lowest polymorph in eV/atom: 0.0723
ΔE_f in eV/atom: -0.511
ρ in kg/m3: 10610

Geometry as extended XYZ:
```
4
Lattice="-3.6395 2.5493 -2.1865 -1.6763 -1.3961 -4.4460 -4.5108 -1.9983 -0.4299" Properties=species:S:1:pos:R:3 pbc="T T T"
Ni -2.4567 -0.2113 -1.7656
Ir -7.3700 -0.6339 -5.2968
Tb 0.0000 0.0000 0.0000
La -4.9133 -0.4226 -3.5312
```

The following is a PBE calculation of a relaxed LaTbNiIr crystal, from Alexandria via LeMat-Bulk.

Summary:
Space group: No. 38
Total DFT energy (no corrections) in eV per cell: -26.5
E above lowest polymorph in eV/atom: 0.0000
ΔE_f in eV/atom: -0.583
ρ in kg/m3: 10200

Geometry as extended XYZ:
```
4
Lattice="3.9118 0.0000 0.0000 0.0000 4.2217 0.0000 -1.9559 0.0000 5.4098" Properties=species:S:1:pos:R:3 pbc="T T T"
La 0.0000 0.0000 1.5499
Tb 1.9559 2.1108 3.9289
Ni 1.9559 2.1108 0.8035
Ir 0.0000 0.0000 4.5373
```

The following is a PBE calculation of a relaxed LaThNiIr crystal, from Alexandria via LeMat-Bulk.

Summary:
Space group: No. 216
Total DFT energy (no corrections) in eV per cell: -28.9
ΔE_f in eV/atom: -0.472
ρ in kg/m3: 11464

Geometry as extended XYZ:
```
4
Lattice="5.0316 0.0000 0.0000 2.5158 4.3575 0.0000 2.5158 1.4525 4.1082" Properties=species:S:1:pos:R:3 pbc="T T T"
Ni 0.0000 0.0000 0.0000
Ir 5.0316 2.9050 2.0541
Th 7.5473 4.3575 3.0812
La 2.5158 1.4525 1.0271
```